(1)
Entry from Alexandria via LeMat-Bulk: a relaxed structure of Rb3SrMn2Br9 (PBE).

The space group is P-3m1 (164). For the raw formation energy, the calculation gives -1.416 eV per atom. The total moment comes out at 10.0 μB/cell.

Unit cell a=7.8365 b=7.8365 c=9.8743 alpha=90.00 beta=90.00 gamma=120.00
With the nearest neighbours (Å) after each atom.
Element x y z (fractional)
Rb 0.3333 0.6667 0.7047  9 Br 3.69-3.92
Rb 0.0000 0.0000 0.0000  12 Br 3.89-3.92
Rb 0.6667 0.3333 0.2953  9 Br 3.69-3.92
Sr 0.0000 0.0000 0.5000  6 Br 2.99
Mn 0.3333 0.6667 0.1587  6 Br 2.65-2.75
Mn 0.6667 0.3333 0.8413  6 Br 2.65-2.75
Br 0.8263 0.1737 0.6868  1 Mn 2.65
Br 0.8263 0.6527 0.6868  1 Mn 2.65
Br 0.3473 0.1737 0.6868  1 Mn 2.65
Br 0.6527 0.8263 0.3132  1 Mn 2.65
Br 0.1737 0.3473 0.3132  1 Mn 2.65
Br 0.1737 0.8263 0.3132  1 Mn 2.65
Br 0.5000 0.0000 0.0000  2 Mn 2.75
Br 0.0000 0.5000 0.0000  2 Mn 2.75
Br 0.5000 0.5000 0.0000  2 Mn 2.75

(2)
Entry from Alexandria via LeMat-Bulk: a relaxed structure of RbSr2MnBr8 (PBE).

The space group is P2/m (10). For the raw formation energy, the calculation gives -1.508 eV per atom. The total moment comes out at 3.9 μB/cell.

Unit cell a=7.2351 b=6.7748 c=9.2612 alpha=89.98 beta=89.99 gamma=87.41
With the nearest neighbours (Å) after each atom.
Element x y z (fractional)
Rb 0.0000 0.0000 0.5000  6 Br 3.28-3.38
Sr 0.5000 0.4999 0.7623  6 Br 3.04-3.20
Sr 0.5000 0.5001 0.2377  6 Br 3.04-3.20
Mn 0.0000 0.0000 0.0000  4 Br 2.46
Br 0.1402 0.7841 0.1871  1 Mn 2.46
Br 0.6742 0.7498 0.9999  1 Mn 2.96, 2 Sr 3.08
Br 0.8596 0.2156 0.1870  1 Mn 2.46
Br 0.8598 0.2159 0.8129  1 Mn 2.46
Br 0.3258 0.2502 0.0001  1 Mn 2.96, 2 Sr 3.08
Br 0.1404 0.7844 0.8130  1 Mn 2.46
Br 0.6459 0.7142 0.5000  2 Sr 3.04, 1 Rb 3.28
Br 0.3541 0.2858 0.5000  2 Sr 3.04, 1 Rb 3.28

(3)
Entry from Alexandria via LeMat-Bulk: a relaxed structure of Rb2TaMnBr6 (PBE).

The space group is Fm-3m (225). For the raw formation energy, the calculation gives -0.899 eV per atom. The total moment comes out at 7.4 μB/cell.

Unit cell a=7.6224 b=7.6224 c=7.6224 alpha=60.00 beta=60.00 gamma=90.00
With the nearest neighbours (Å) after each atom.
Element x y z (fractional)
Mn 0.5000 0.5000 0.0000  6 Br 2.70
Br 0.2495 0.2495 0.5010  1 Ta 2.69, 1 Mn 2.70
Br 0.7505 0.7505 0.4990  1 Ta 2.69, 1 Mn 2.70
Br 0.2496 0.2496 0.0000  1 Ta 2.69, 1 Mn 2.70
Br 0.7504 0.7504 0.0000  1 Ta 2.69, 1 Mn 2.70
Br 0.7504 0.2496 0.0000  1 Ta 2.69, 1 Mn 2.70
Br 0.2496 0.7504 0.0000  1 Ta 2.69, 1 Mn 2.70
Rb 0.7500 0.2500 0.5000  12 Br 3.81
Rb 0.2500 0.7500 0.5000  12 Br 3.81
Ta 0.0000 0.0000 0.0000  6 Br 2.69

(4)
Entry from Alexandria via LeMat-Bulk: a relaxed structure of RbMn2TcBr (PBE).

The space group is P4/mmm (123). For the raw formation energy, the calculation gives 0.643 eV per atom. The total moment comes out at 7.0 μB/cell.

Unit cell a=4.7758 b=5.8297 c=4.7758 alpha=90.00 beta=90.00 gamma=90.00
With the nearest neighbours (Å) after each atom.
Element x y z (fractional)
Mn 0.0000 0.0000 0.5000  2 Tc 2.39
Mn 0.5000 0.0000 0.0000  2 Tc 2.39
Br 0.0000 0.5000 0.0000  2 Tc 2.91
Tc 0.0000 0.0000 0.0000  4 Mn 2.39
Rb 0.5000 0.5000 0.5000  4 Br 3.38, 8 Mn 3.77

(5)
Entry from Alexandria via LeMat-Bulk: a relaxed structure of RbMnTeBr6 (PBE).

The space group is P1 (1). For the raw formation energy, the calculation gives -0.746 eV per atom. The total moment comes out at 4.0 μB/cell.

Unit cell a=7.8126 b=7.2409 c=7.5074 alpha=88.01 beta=86.01 gamma=57.07
With the nearest neighbours (Å) after each atom.
Element x y z (fractional)
Rb 0.0044 0.9919 0.9981  6 Br 3.45-3.61
Mn 0.6806 0.6374 0.5005  4 Br 2.52-2.79
Te 0.3340 0.3337 0.4991  4 Br 2.75
Br 0.9614 0.3899 0.2726  1 Mn 2.52
Br 0.3807 0.9910 0.7063  1 Te 2.75, 1 Mn 2.77
Br 0.6429 0.3975 0.7315  1 Mn 2.53
Br 0.9831 0.6361 0.6919  1 Te 2.75, 1 Mn 2.85
Br 0.3810 0.6355 0.3079  1 Te 2.75, 1 Mn 2.84
Br 0.6316 0.9871 0.2920  1 Te 2.75, 1 Mn 2.79

(6)
Entry from Alexandria via LeMat-Bulk: a relaxed structure of Rb2MnTeBr6 (PBE).

The space group is I4/mmm (139). For the raw formation energy, the calculation gives -0.924 eV per atom. The total moment comes out at 3.0 μB/cell.

Unit cell a=8.1687 b=8.1687 c=8.0102 alpha=59.34 beta=59.34 gamma=90.00
With the nearest neighbours (Å) after each atom.
Element x y z (fractional)
Mn 0.5000 0.5000 0.0000  6 Br 2.54-2.83
Te 0.0000 0.0000 0.0000  2 Br 2.72
Br 0.2454 0.2454 0.5092  1 Te 2.72, 1 Mn 2.83
Br 0.7546 0.7546 0.4908  1 Te 2.72, 1 Mn 2.83
Br 0.2805 0.2805 0.0000  1 Mn 2.54
Br 0.7195 0.7195 0.0000  1 Mn 2.54
Br 0.7195 0.2805 0.0000  1 Mn 2.54
Br 0.2805 0.7195 0.0000  1 Mn 2.54
Rb 0.7500 0.2500 0.5000  12 Br 4.02-4.08
Rb 0.2500 0.7500 0.5000  12 Br 4.02-4.08

(7)
Entry from Alexandria via LeMat-Bulk: a relaxed structure of RbMn2TlBr8 (PBE).

The space group is P-3 (147). For the raw formation energy, the calculation gives -0.827 eV per atom. The total moment comes out at 8.0 μB/cell.

Unit cell a=7.1390 b=7.1390 c=10.2797 alpha=90.00 beta=90.00 gamma=120.00
With the nearest neighbours (Å) after each atom.
Element x y z (fractional)
Rb 0.0000 0.0000 0.0000  12 Br 3.91-4.12
Mn 0.6667 0.3333 0.2357  4 Br 2.37-2.40
Mn 0.3333 0.6667 0.7643  4 Br 2.37-2.40
Tl 0.0000 0.0000 0.5000  6 Br 3.17
Br 0.3333 0.6667 0.9945  1 Mn 2.37
Br 0.3427 0.3321 0.3000  1 Mn 2.40
Br 0.6679 0.0106 0.3000  1 Mn 2.40
Br 0.6667 0.3333 0.0055  1 Mn 2.37
Br 0.3321 0.9894 0.7000  1 Mn 2.40
Br 0.6573 0.6679 0.7000  1 Mn 2.40
Br 0.0106 0.3427 0.7000  1 Mn 2.40
Br 0.9894 0.6573 0.3000  1 Mn 2.40

(8)
Entry from Alexandria via LeMat-Bulk: a relaxed structure of Rb2MnTl3Br6 (PBE).

The space group is C2/m (12). For the raw formation energy, the calculation gives -0.955 eV per atom. The total moment comes out at 4.1 μB/cell.

Unit cell a=8.0471 b=8.0471 c=8.4087 alpha=99.36 beta=99.36 gamma=119.94
With the nearest neighbours (Å) after each atom.
Element x y z (fractional)
Rb 0.3357 0.6643 0.0000  6 Br 3.39-3.43
Rb 0.6643 0.3357 0.0000  6 Br 3.39-3.43
Mn 0.0000 0.0000 0.0000  6 Br 2.72-2.79
Tl 0.1713 0.8287 0.5000  4 Br 3.36-3.43
Tl 0.8287 0.1713 0.5000  4 Br 3.36-3.43
Tl 0.5000 0.5000 0.5000  4 Br 3.40
Br 0.9313 0.6602 0.7953  1 Mn 2.72
Br 0.8050 0.8050 0.2206  1 Mn 2.79
Br 0.0687 0.3398 0.2047  1 Mn 2.72
Br 0.6602 0.9313 0.7953  1 Mn 2.72
Br 0.1950 0.1950 0.7794  1 Mn 2.79
Br 0.3398 0.0687 0.2047  1 Mn 2.72

(9)
Entry from Alexandria via LeMat-Bulk: a relaxed structure of Rb3Mn2TlBr9 (PBE).

The space group is P-3m1 (164). For the raw formation energy, the calculation gives -1.143 eV per atom. The total moment comes out at 9.0 μB/cell.

Unit cell a=7.6329 b=7.6329 c=10.5423 alpha=90.00 beta=90.00 gamma=120.00
With the nearest neighbours (Å) after each atom.
Element x y z (fractional)
Rb 0.3333 0.6667 0.7281  9 Br 3.62-3.82
Rb 0.0000 0.0000 0.0000  12 Br 3.78-3.82
Rb 0.6667 0.3333 0.2719  9 Br 3.62-3.82
Mn 0.3333 0.6667 0.1560  6 Br 2.53-2.75
Mn 0.6667 0.3333 0.8440  6 Br 2.53-2.75
Tl 0.0000 0.0000 0.5000  6 Br 3.20
Br 0.8279 0.1721 0.7141  1 Mn 2.53
Br 0.8279 0.6557 0.7141  1 Mn 2.53
Br 0.3443 0.1721 0.7141  1 Mn 2.53
Br 0.6557 0.8279 0.2859  1 Mn 2.53
Br 0.1721 0.3443 0.2859  1 Mn 2.53
Br 0.1721 0.8279 0.2859  1 Mn 2.53
Br 0.5000 0.0000 0.0000  2 Mn 2.75
Br 0.0000 0.5000 0.0000  2 Mn 2.75
Br 0.5000 0.5000 0.0000  2 Mn 2.75

(10)
Entry from Alexandria via LeMat-Bulk: a relaxed structure of Rb3Mn2TlBr8 (PBE).

The space group is P-3m1 (164). For the raw formation energy, the calculation gives -1.197 eV per atom. The total moment comes out at 10.0 μB/cell.

Unit cell a=8.2609 b=8.2609 c=9.8157 alpha=90.00 beta=90.00 gamma=120.00
With the nearest neighbours (Å) after each atom.
Element x y z (fractional)
Rb 0.3333 0.6667 0.6022  1 Br 3.30
Rb 0.6667 0.3333 0.3978  1 Br 3.30
Rb 0.0000 0.0000 0.0000  6 Br 3.82
Mn 0.3333 0.6667 0.1857  4 Br 2.42-2.52
Mn 0.6667 0.3333 0.8143  4 Br 2.42-2.52
Tl 0.0000 0.0000 0.5000  6 Br 3.20
Br 0.3333 0.6667 0.9389  1 Mn 2.42
Br 0.6667 0.3333 0.0611  1 Mn 2.42
Br 0.1742 0.8258 0.2950  1 Mn 2.52
Br 0.8258 0.1742 0.7050  1 Mn 2.52
Br 0.1742 0.3484 0.2950  1 Mn 2.52
Br 0.8258 0.6516 0.7050  1 Mn 2.52
Br 0.6516 0.8258 0.2950  1 Mn 2.52
Br 0.3484 0.1742 0.7050  1 Mn 2.52

> Look up the total moment of the tenth one.

10.0 μB/cell